Density functional theory data (PBE) for ReNi2Pt4 after structural relaxation.

Values from the calculation:
Volume in Å³/atom: 15.28
Size of the total moment in μB per cell: 0.00
ΔE_f in eV per atom: 0.228

The structure in POSCAR format:
```
ReNi2Pt4
1.0
-4.078 4.836 1.600
0.279 -4.320 4.883
5.950 2.451 -1.084
Ni Pt Re
4 8 2
Direct
0.499 0.374 0.625
0.875 0.126 0.501
0.375 0.874 0.749
0.251 0.626 0.125
0.287 0.248 0.875
0.463 0.088 0.211
0.627 0.752 0.039
0.125 0.412 0.373
0.625 0.748 0.537
0.123 0.912 0.375
0.961 0.588 0.713
0.789 0.252 0.877
0.000 0.000 0.000
0.750 0.500 0.250
```

***

Density functional theory data (PBE) for Ac2Pm6Nd after structural relaxation.

Values from the calculation:
Volume in Å³/atom: 37.31
Size of the total moment in μB per cell: 0.00
ΔE_f in eV per atom: 0.168

The structure in POSCAR format:
```
Ac2Pm6Nd
1.0
-5.394 -3.257 -1.423
3.544 -3.196 -6.103
3.828 -6.686 0.808
Nd Pm Ac
1 6 2
Direct
0.000 0.000 0.000
0.701 0.627 0.185
0.701 0.185 0.627
0.299 0.815 0.373
0.297 0.815 0.815
0.703 0.185 0.185
0.299 0.373 0.815
0.796 0.666 0.666
0.204 0.334 0.334
```

***

Density functional theory data (PBE) for AcY4Se8 after structural relaxation.

Values from the calculation:
Volume in Å³/atom: 32.67
Size of the total moment in μB per cell: 0.00
Uncorrected formation energy in eV/atom: -1.774

The structure in POSCAR format:
```
AcY4Se8
1.0
8.180 0.000 0.000
4.090 7.084 0.000
4.090 2.361 7.330
Se Ac Y
8 1 4
Direct
0.743 0.241 0.775
0.261 0.261 0.217
0.241 0.241 0.775
0.241 0.743 0.775
0.739 0.739 0.783
0.759 0.759 0.225
0.759 0.257 0.225
0.257 0.759 0.225
0.500 0.500 0.500
0.500 0.500 0.000
0.000 0.500 0.000
0.000 0.000 0.000
0.500 0.000 0.000
```

***

Density functional theory data (PBE) for Zn3OsO3 after structural relaxation.

Values from the calculation:
Volume in Å³/atom: 13.56
Size of the total moment in μB per cell: 7.95
Uncorrected formation energy in eV/atom: -0.098

The structure in POSCAR format:
```
Zn3OsO3
1.0
5.747 0.000 0.000
0.000 5.747 0.000
0.000 0.000 5.747
Zn Os O
6 2 6
Direct
0.750 0.000 0.500
0.250 0.000 0.500
0.500 0.250 0.000
0.000 0.500 0.750
0.500 0.750 0.000
0.000 0.500 0.250
0.500 0.500 0.500
0.000 0.000 0.000
0.000 0.250 0.500
0.250 0.500 0.000
0.750 0.500 0.000
0.500 0.000 0.750
0.000 0.750 0.500
0.500 0.000 0.250
```

***

Density functional theory data (PBE) for Ba2LiMn after structural relaxation.

Values from the calculation:
Volume in Å³/atom: 37.56
Size of the total moment in μB per cell: 3.60
ΔE_f in eV per atom: 0.478

The structure in POSCAR format:
```
Ba2LiMn
1.0
-6.372 0.512 -2.526
-1.493 -3.751 -5.563
2.883 -1.079 6.146
Ba Mn Li
2 1 1
Direct
0.250 0.750 0.500
0.000 0.000 0.000
0.750 0.250 0.500
0.500 0.500 0.000
```

***

Density functional theory data (PBE) for Sc6Hg12Pb after structural relaxation.

Values from the calculation:
Volume in Å³/atom: 23.80
Size of the total moment in μB per cell: 0.00
ΔE_f in eV per atom: -0.167

The structure in POSCAR format:
```
Sc6Hg12Pb
1.0
-3.309 -5.981 -4.524
5.765 -3.392 4.738
-5.868 2.889 4.941
Hg Sc Pb
12 6 1
Direct
0.435 0.529 0.808
0.821 0.291 0.124
0.529 0.808 0.435
0.291 0.124 0.821
0.876 0.179 0.709
0.471 0.192 0.565
0.179 0.709 0.876
0.709 0.876 0.179
0.124 0.821 0.291
0.192 0.565 0.471
0.565 0.471 0.192
0.808 0.435 0.529
0.913 0.814 0.545
0.087 0.186 0.455
0.545 0.913 0.814
0.814 0.545 0.913
0.186 0.455 0.087
0.455 0.087 0.186
0.000 0.000 0.000
```

***

> What is the formula in the first record?

ReNi2Pt4

***

> Which of these has the highest size of the total moment?

Zn3OsO3

***

> Look up the volume of the third one.

32.67 Å³/atom